Entry 1:
BaTlFe2I8 | PBE-GGA | optimized geometry

a = 8.497 Å, b = 8.497 Å, c = 10.193 Å
α = 90.00°, β = 90.00°, γ = 120.00°
Fractional coordinates of all 12 atoms:
Ba 0.000 0.000 0.000
Tl 0.000 0.000 0.500
Fe 0.333 0.667 0.839
Fe 0.667 0.333 0.161
I 0.150 0.334 0.749
I 0.185 0.850 0.749
I 0.333 0.667 0.085
I 0.334 0.185 0.251
I 0.666 0.815 0.749
I 0.667 0.333 0.915
I 0.815 0.150 0.251
I 0.850 0.666 0.251

For the electronic total energy, the calculation gives -40.837 eV/f.u. The density of states at the Fermi level comes out at 0.724 states/eV/atom. As for the crystal system: trigonal. The space-group type is P-3.

Entry 2:
BaTlFeI2 | PBE-GGA | optimized geometry

a = 6.342 Å, b = 6.342 Å, c = 6.597 Å
α = 90.00°, β = 90.00°, γ = 90.00°
Fractional coordinates of all 5 atoms:
Ba 0.000 0.000 0.000
Tl 0.000 0.000 0.500
Fe 0.500 0.500 0.000
I 0.000 0.500 0.500
I 0.500 0.000 0.500

For the electronic total energy, the calculation gives -13.842 eV/f.u. The density of states at the Fermi level comes out at 1.170 states/eV/atom. As for the crystal system: tetragonal. The space-group type is P4/mmm.

Entry 3:
BaInFe2 | PBE-GGA | optimized geometry

a = 3.302 Å, b = 3.302 Å, c = 8.013 Å
α = 90.00°, β = 90.00°, γ = 90.00°
Fractional coordinates of all 4 atoms:
Ba 0.000 0.000 0.000
In 0.500 0.500 0.650
Fe 0.000 0.000 0.428
Fe 0.500 0.500 0.313

For the electronic total energy, the calculation gives -20.354 eV/f.u. The density of states at the Fermi level comes out at 0.907 states/eV/atom. As for the crystal system: tetragonal. The space-group type is P4mm.

Entry 4:
BaInFe2 | PBE-GGA | optimized geometry

a = 4.881 Å, b = 4.881 Å, c = 7.904 Å
α = 90.00°, β = 90.00°, γ = 90.00°
Fractional coordinates of all 8 atoms:
Ba 0.000 0.000 0.000
Ba 0.500 0.500 0.500
In 0.000 0.500 0.250
In 0.500 0.000 0.750
Fe 0.000 0.000 0.500
Fe 0.000 0.500 0.750
Fe 0.500 0.000 0.250
Fe 0.500 0.500 0.000

For the electronic total energy, the calculation gives -18.436 eV/f.u. The density of states at the Fermi level comes out at 1.282 states/eV/atom. As for the crystal system: tetragonal. The space-group type is I-4m2.

Entry 5:
BaIn3Fe | PBE-GGA | optimized geometry

a = 6.369 Å, b = 6.369 Å, c = 6.369 Å
α = 90.00°, β = 90.00°, γ = 90.00°
Fractional coordinates of all 5 atoms:
Ba 0.000 0.000 0.000
In 0.000 0.000 0.500
In 0.000 0.500 0.000
In 0.500 0.000 0.000
Fe 0.500 0.500 0.500

For the electronic total energy, the calculation gives -11.087 eV/f.u. The density of states at the Fermi level comes out at 2.576 states/eV/atom. As for the crystal system: cubic. The space-group type is Pm-3m.

Entry 6:
BaInFe3 | PBE-GGA | optimized geometry

a = 5.040 Å, b = 5.040 Å, c = 5.040 Å
α = 90.00°, β = 90.00°, γ = 90.00°
Fractional coordinates of all 5 atoms:
Ba 0.000 0.000 0.000
In 0.500 0.500 0.500
Fe 0.000 0.500 0.500
Fe 0.500 0.000 0.500
Fe 0.500 0.500 0.000

The density of states at the Fermi level comes out at 2.289 states/eV/atom. As for the crystal system: cubic. As for the polymorph energy (0 for the lowest one): 0.0 meV/atom. The space-group type is Pm-3m.

Entry 7:
BaInFe2 | PBE-GGA | optimized geometry

a = 4.998 Å, b = 4.998 Å, c = 3.459 Å
α = 90.00°, β = 90.00°, γ = 90.00°
Fractional coordinates of all 4 atoms:
Ba 0.000 0.000 0.000
In 0.500 0.500 0.000
Fe 0.000 0.500 0.500
Fe 0.500 0.000 0.500

For the electronic total energy, the calculation gives -18.411 eV/f.u. The density of states at the Fermi level comes out at 1.292 states/eV/atom. As for the crystal system: tetragonal. The space-group type is P4/mmm.

Entry 8:
BaInFe2 | PBE-GGA | optimized geometry

a = 4.227 Å, b = 3.705 Å, c = 6.537 Å
α = 90.00°, β = 108.79°, γ = 90.00°
Fractional coordinates of all 4 atoms:
Ba 0.000 0.000 0.000
In 0.725 0.500 0.449
Fe 0.257 0.000 0.514
Fe 0.365 0.500 0.730

For the electronic total energy, the calculation gives -20.108 eV/f.u. The density of states at the Fermi level comes out at 0.729 states/eV/atom. As for the crystal system: monoclinic. The space-group type is Pm.

Entry 9:
BaInFe2 | PBE-GGA | optimized geometry

a = 3.208 Å, b = 5.423 Å, c = 10.533 Å
α = 90.00°, β = 90.00°, γ = 90.00°
Fractional coordinates of all 8 atoms:
Ba 0.000 0.000 0.000
Ba 0.500 0.500 0.500
In 0.000 0.500 0.200
In 0.500 0.000 0.700
Fe 0.000 0.000 0.463
Fe 0.000 0.500 0.799
Fe 0.500 0.000 0.299
Fe 0.500 0.500 0.963

For the electronic total energy, the calculation gives -19.477 eV/f.u. The density of states at the Fermi level comes out at 0.742 states/eV/atom. As for the crystal system: orthorhombic. The space-group type is Imm2.

Entry 10:
BaInFe2 | PBE-GGA | optimized geometry

a = 3.517 Å, b = 3.701 Å, c = 7.115 Å
α = 90.00°, β = 90.00°, γ = 90.00°
Fractional coordinates of all 4 atoms:
Ba 0.000 0.000 0.000
In 0.000 0.000 0.500
Fe 0.500 0.500 0.345
Fe 0.500 0.500 0.655

For the electronic total energy, the calculation gives -19.711 eV/f.u. The density of states at the Fermi level comes out at 0.774 states/eV/atom. As for the crystal system: orthorhombic. The space-group type is Pmmm.

Entry 11:
BaInFe2 | PBE-GGA | optimized geometry

a = 4.145 Å, b = 4.145 Å, c = 19.534 Å
α = 90.00°, β = 90.00°, γ = 120.00°
Fractional coordinates of all 12 atoms:
Ba 0.000 0.000 0.000
Ba 0.333 0.667 0.667
Ba 0.667 0.333 0.333
In 0.000 0.000 0.189
In 0.333 0.667 0.856
In 0.667 0.333 0.523
Fe 0.000 0.000 0.460
Fe 0.000 0.000 0.791
Fe 0.333 0.667 0.127
Fe 0.333 0.667 0.458
Fe 0.667 0.333 0.125
Fe 0.667 0.333 0.793

For the electronic total energy, the calculation gives -20.718 eV/f.u. The density of states at the Fermi level comes out at 0.555 states/eV/atom. As for the crystal system: trigonal. The space-group type is R3m.

Entry 12:
BaIn3Fe | PBE-GGA | optimized geometry

a = 5.111 Å, b = 5.111 Å, c = 5.111 Å
α = 90.00°, β = 90.00°, γ = 90.00°
Fractional coordinates of all 5 atoms:
Ba 0.000 0.000 0.000
In 0.000 0.500 0.500
In 0.500 0.000 0.500
In 0.500 0.500 0.000
Fe 0.500 0.500 0.500

For the electronic total energy, the calculation gives -19.458 eV/f.u. The density of states at the Fermi level comes out at 0.256 states/eV/atom. As for the crystal system: cubic. The space-group type is Pm-3m.

Entry 13:
BaInFe4 | PBE-GGA | optimized geometry

a = 5.302 Å, b = 5.302 Å, c = 5.302 Å
α = 60.00°, β = 60.00°, γ = 60.00°
Fractional coordinates of all 6 atoms:
Ba 0.000 0.000 0.000
In 0.250 0.250 0.250
Fe 0.138 0.621 0.621
Fe 0.621 0.138 0.621
Fe 0.621 0.621 0.138
Fe 0.621 0.621 0.621

For the electronic total energy, the calculation gives -35.815 eV/f.u. The density of states at the Fermi level comes out at 0.934 states/eV/atom. As for the crystal system: cubic. The space-group type is F-43m.

Entry 14:
Ba4InFe | PBE-GGA | optimized geometry

a = 7.194 Å, b = 7.194 Å, c = 7.194 Å
α = 60.00°, β = 60.00°, γ = 60.00°
Fractional coordinates of all 6 atoms:
Ba 0.125 0.125 0.125
Ba 0.125 0.125 0.625
Ba 0.125 0.625 0.125
Ba 0.625 0.125 0.125
In 0.500 0.500 0.500
Fe 0.750 0.750 0.750

For the electronic total energy, the calculation gives -14.227 eV/f.u. The density of states at the Fermi level comes out at 1.540 states/eV/atom. As for the crystal system: cubic. The space-group type is F-43m.

Entry 15:
BaInFe2 | PBE-GGA | optimized geometry

a = 7.865 Å, b = 4.564 Å, c = 6.168 Å
α = 90.00°, β = 115.21°, γ = 90.00°
Fractional coordinates of all 8 atoms:
Ba 0.000 0.000 0.000
Ba 0.500 0.500 0.000
In 0.000 0.500 0.500
In 0.500 0.000 0.500
Fe 0.180 0.000 0.544
Fe 0.320 0.500 0.456
Fe 0.680 0.500 0.544
Fe 0.820 0.000 0.456

For the electronic total energy, the calculation gives -20.490 eV/f.u. The density of states at the Fermi level comes out at 1.522 states/eV/atom. As for the crystal system: monoclinic. The space-group type is C2/m.

Entry 16:
BaInFe2 | PBE-GGA | optimized geometry

a = 4.729 Å, b = 4.729 Å, c = 18.251 Å
α = 90.00°, β = 90.00°, γ = 90.00°
Fractional coordinates of all 16 atoms:
Ba 0.000 0.250 0.375
Ba 0.000 0.750 0.625
Ba 0.500 0.250 0.125
Ba 0.500 0.750 0.875
In 0.000 0.250 0.875
In 0.000 0.750 0.125
In 0.500 0.250 0.625
In 0.500 0.750 0.375
Fe 0.000 0.000 0.000
Fe 0.000 0.500 0.000
Fe 0.250 0.250 0.750
Fe 0.250 0.750 0.250
Fe 0.500 0.000 0.500
Fe 0.500 0.500 0.500
Fe 0.750 0.250 0.750
Fe 0.750 0.750 0.250

For the electronic total energy, the calculation gives -18.452 eV/f.u. The density of states at the Fermi level comes out at 1.794 states/eV/atom. As for the crystal system: tetragonal. The space-group type is I4_1/amd.

Entry 17:
BaInFe2 | PBE-GGA | optimized geometry

a = 3.324 Å, b = 4.673 Å, c = 6.567 Å
α = 90.00°, β = 97.62°, γ = 90.00°
Fractional coordinates of all 4 atoms:
Ba 0.000 0.000 0.000
In 0.500 0.000 0.500
Fe 0.271 0.500 0.630
Fe 0.729 0.500 0.370

For the electronic total energy, the calculation gives -19.606 eV/f.u. The density of states at the Fermi level comes out at 0.970 states/eV/atom. As for the crystal system: monoclinic. The space-group type is P2/m.

Entry 18:
Ba3InFe | PBE-GGA | optimized geometry

a = 5.781 Å, b = 5.781 Å, c = 5.781 Å
α = 90.00°, β = 90.00°, γ = 90.00°
Fractional coordinates of all 5 atoms:
Ba 0.000 0.000 0.500
Ba 0.000 0.500 0.000
Ba 0.500 0.000 0.000
In 0.500 0.500 0.500
Fe 0.000 0.000 0.000

For the electronic total energy, the calculation gives -15.242 eV/f.u. The density of states at the Fermi level comes out at 1.769 states/eV/atom. As for the crystal system: cubic. The space-group type is Pm-3m.

Entry 19:
BaInFe3 | PBE-GGA | optimized geometry

a = 5.026 Å, b = 5.026 Å, c = 5.026 Å
α = 90.00°, β = 90.00°, γ = 90.00°
Fractional coordinates of all 5 atoms:
Ba 0.000 0.000 0.000
In 0.500 0.500 0.500
Fe 0.000 0.000 0.500
Fe 0.000 0.500 0.000
Fe 0.500 0.000 0.000

The density of states at the Fermi level comes out at 2.335 states/eV/atom. As for the crystal system: cubic. As for the polymorph energy (0 for the lowest one): 1025.1 meV/atom. The space-group type is Pm-3m.

Entry 20:
BaLa2InFe | PBE-GGA | optimized geometry

a = 5.360 Å, b = 5.360 Å, c = 5.405 Å
α = 90.00°, β = 90.00°, γ = 90.00°
Fractional coordinates of all 5 atoms:
Ba 0.000 0.000 0.000
La 0.000 0.500 0.500
La 0.500 0.000 0.500
In 0.500 0.500 0.000
Fe 0.500 0.500 0.500

For the electronic total energy, the calculation gives -23.354 eV/f.u. The density of states at the Fermi level comes out at 0.880 states/eV/atom. As for the crystal system: tetragonal. The space-group type is P4/mmm.